Crystalline LiTaTe at its relaxed geometry, computed with PBE.

Calculated values
- Size of the total moment: 0.00 μB/atom
- DOS(E_F): 5.2 states/eV per cell
- Energy relative to the elements, uncorrected: 6.43 kcal/mol of atoms
- Polymorph energy (0 for the lowest one): 20.79 kJ per mole of atoms

Structure (CIF):
```
data_LiTaTe
_chemical_formula_sum 'Li4 Ta4 Te4'
_symmetry_space_group_name_H-M 'F m m 2'
_symmetry_Int_Tables_number 42
_symmetry_space_group_name_Hall 'F 2 -2'
_cell_length_a 3.629
_cell_length_b 5.146
_cell_length_c 14.081
_cell_angle_alpha 90.00
_cell_angle_beta 90.00
_cell_angle_gamma 90.00
loop_
_atom_site_label
_atom_site_type_symbol
_atom_site_fract_x
_atom_site_fract_y
_atom_site_fract_z
_atom_site_occupancy
Li1 Li 0.000 0.000 0.000 1
Ta1 Ta 0.000 0.000 0.341 1
Te1 Te 0.000 0.000 0.693 1
```

=====

Crystalline Li2TaTe4 at its relaxed geometry, computed with PBE.

Calculated values
- Size of the total moment: 0.00 μB/atom
- DOS(E_F): 12.2 states/eV per cell
- Energy relative to the elements, uncorrected: -5.12 kcal/mol of atoms
- Polymorph energy (0 for the lowest one): 24.77 kJ per mole of atoms

Structure (CIF):
```
data_Li2TaTe4
_chemical_formula_sum 'Li4 Ta2 Te8'
_symmetry_space_group_name_H-M 'I 4/m m m'
_symmetry_Int_Tables_number 139
_symmetry_space_group_name_Hall '-I 4 2'
_cell_length_a 5.503
_cell_length_b 5.503
_cell_length_c 13.868
_cell_angle_alpha 90.00
_cell_angle_beta 90.00
_cell_angle_gamma 90.00
loop_
_atom_site_label
_atom_site_type_symbol
_atom_site_fract_x
_atom_site_fract_y
_atom_site_fract_z
_atom_site_occupancy
Li1 Li 0.000 0.000 0.109 1
Ta1 Ta 0.000 0.000 0.500 1
Te1 Te 0.000 0.000 0.302 1
Te2 Te 0.000 0.500 0.000 1
```

=====

Crystalline LiTaTe at its relaxed geometry, computed with PBE.

Calculated values
- Size of the total moment: 0.54 μB/atom
- DOS(E_F): 7.4 states/eV per cell
- Energy relative to the elements, uncorrected: 9.63 kcal/mol of atoms
- Polymorph energy (0 for the lowest one): 34.20 kJ per mole of atoms

Structure (CIF):
```
data_LiTaTe
_chemical_formula_sum 'Li4 Ta4 Te4'
_symmetry_space_group_name_H-M 'F -4 3 m'
_symmetry_Int_Tables_number 216
_symmetry_space_group_name_Hall 'F -4 2 3'
_cell_length_a 6.413
_cell_length_b 6.413
_cell_length_c 6.413
_cell_angle_alpha 90.00
_cell_angle_beta 90.00
_cell_angle_gamma 90.00
loop_
_atom_site_label
_atom_site_type_symbol
_atom_site_fract_x
_atom_site_fract_y
_atom_site_fract_z
_atom_site_occupancy
Li1 Li 0.000 0.000 0.000 1
Ta1 Ta 0.000 0.000 0.500 1
Te1 Te 0.250 0.250 0.750 1
```

=====

Crystalline LiTaTe3 at its relaxed geometry, computed with PBE.

Calculated values
- Size of the total moment: 0.00 μB/atom
- DOS(E_F): 2.8 states/eV per cell
- Energy relative to the elements, uncorrected: -0.87 kcal/mol of atoms
- Polymorph energy (0 for the lowest one): 30.89 kJ per mole of atoms

Structure (CIF):
```
data_LiTaTe3
_chemical_formula_sum 'Li1 Ta1 Te3'
_symmetry_space_group_name_H-M 'P m -3 m'
_symmetry_Int_Tables_number 221
_symmetry_space_group_name_Hall '-P 4 2 3'
_cell_length_a 5.473
_cell_length_b 5.473
_cell_length_c 5.473
_cell_angle_alpha 90.00
_cell_angle_beta 90.00
_cell_angle_gamma 90.00
loop_
_atom_site_label
_atom_site_type_symbol
_atom_site_fract_x
_atom_site_fract_y
_atom_site_fract_z
_atom_site_occupancy
Li1 Li 0.000 0.000 0.000 1
Ta1 Ta 0.500 0.500 0.500 1
Te1 Te 0.000 0.500 0.500 1
```

=====

Crystalline LiTa2Tl2Te6 at its relaxed geometry, computed with PBE.

Calculated values
- Size of the total moment: 0.00 μB/atom
- DOS(E_F): 9.9 states/eV per cell
- Energy relative to the elements, uncorrected: -7.79 kcal/mol of atoms

Structure (CIF):
```
data_LiTa2Tl2Te6
_chemical_formula_sum 'Li2 Ta4 Tl4 Te12'
_symmetry_space_group_name_H-M 'C 1 2/m 1'
_symmetry_Int_Tables_number 12
_symmetry_space_group_name_Hall '-C 2y'
_cell_length_a 7.201
_cell_length_b 12.063
_cell_length_c 8.281
_cell_angle_alpha 90.00
_cell_angle_beta 102.85
_cell_angle_gamma 90.00
loop_
_atom_site_label
_atom_site_type_symbol
_atom_site_fract_x
_atom_site_fract_y
_atom_site_fract_z
_atom_site_occupancy
Li1 Li 0.000 0.000 0.000 1
Ta1 Ta 0.000 0.363 0.000 1
Tl1 Tl 0.000 0.180 0.500 1
Te1 Te 0.177 0.500 0.250 1
Te2 Te 0.220 0.183 0.181 1
```

=====

Crystalline LiTmThTa at its relaxed geometry, computed with PBE.

Calculated values
- Size of the total moment: 0.19 μB/atom
- DOS(E_F): 28.9 states/eV per cell
- Electronic total energy: -98.3 eV per cell

Structure (CIF):
```
data_LiTmThTa
_chemical_formula_sum 'Li4 Tm4 Th4 Ta4'
_symmetry_space_group_name_H-M 'F -4 3 m'
_symmetry_Int_Tables_number 216
_symmetry_space_group_name_Hall 'F -4 2 3'
_cell_length_a 7.222
_cell_length_b 7.222
_cell_length_c 7.222
_cell_angle_alpha 90.00
_cell_angle_beta 90.00
_cell_angle_gamma 90.00
loop_
_atom_site_label
_atom_site_type_symbol
_atom_site_fract_x
_atom_site_fract_y
_atom_site_fract_z
_atom_site_occupancy
Li1 Li 0.000 0.000 0.000 1
Tm1 Tm 0.250 0.250 0.750 1
Th1 Th 0.250 0.250 0.250 1
Ta1 Ta 0.000 0.000 0.500 1
```

=====

Crystalline Li3TaTi at its relaxed geometry, computed with PBE.

Calculated values
- Size of the total moment: 0.18 μB/atom
- DOS(E_F): 6.9 states/eV per cell
- Polymorph energy (0 for the lowest one): 0.00 kJ per mole of atoms

Structure (CIF):
```
data_Li3TaTi
_chemical_formula_sum 'Li3 Ta1 Ti1'
_symmetry_space_group_name_H-M 'P m -3 m'
_symmetry_Int_Tables_number 221
_symmetry_space_group_name_Hall '-P 4 2 3'
_cell_length_a 4.361
_cell_length_b 4.361
_cell_length_c 4.361
_cell_angle_alpha 90.00
_cell_angle_beta 90.00
_cell_angle_gamma 90.00
loop_
_atom_site_label
_atom_site_type_symbol
_atom_site_fract_x
_atom_site_fract_y
_atom_site_fract_z
_atom_site_occupancy
Li1 Li 0.000 0.000 0.500 1
Ta1 Ta 0.500 0.500 0.500 1
Ti1 Ti 0.000 0.000 0.000 1
```

=====

Crystalline LiTaTi2 at its relaxed geometry, computed with PBE.

Calculated values
- Size of the total moment: 0.00 μB/atom
- DOS(E_F): 17.6 states/eV per cell
- Polymorph energy (0 for the lowest one): 45.82 kJ per mole of atoms

Structure (CIF):
```
data_LiTaTi2
_chemical_formula_sum 'Li4 Ta4 Ti8'
_symmetry_space_group_name_H-M 'I -4 2 d'
_symmetry_Int_Tables_number 122
_symmetry_space_group_name_Hall 'I -4 2bw'
_cell_length_a 3.793
_cell_length_b 3.793
_cell_length_c 18.868
_cell_angle_alpha 90.00
_cell_angle_beta 90.00
_cell_angle_gamma 90.00
loop_
_atom_site_label
_atom_site_type_symbol
_atom_site_fract_x
_atom_site_fract_y
_atom_site_fract_z
_atom_site_occupancy
Li1 Li 0.000 0.000 0.000 1
Ta1 Ta 0.000 0.000 0.500 1
Ti1 Ti 0.242 0.750 0.625 1
```

=====

Crystalline Li2TaTi at its relaxed geometry, computed with PBE.

Calculated values
- Size of the total moment: 0.00 μB/atom
- DOS(E_F): 11.3 states/eV per cell
- Polymorph energy (0 for the lowest one): 0.00 kJ per mole of atoms

Structure (CIF):
```
data_Li2TaTi
_chemical_formula_sum 'Li8 Ta4 Ti4'
_symmetry_space_group_name_H-M 'F m -3 m'
_symmetry_Int_Tables_number 225
_symmetry_space_group_name_Hall '-F 4 2 3'
_cell_length_a 6.245
_cell_length_b 6.245
_cell_length_c 6.245
_cell_angle_alpha 90.00
_cell_angle_beta 90.00
_cell_angle_gamma 90.00
loop_
_atom_site_label
_atom_site_type_symbol
_atom_site_fract_x
_atom_site_fract_y
_atom_site_fract_z
_atom_site_occupancy
Li1 Li 0.250 0.250 0.250 1
Ta1 Ta 0.000 0.000 0.000 1
Ti1 Ti 0.000 0.000 0.500 1
```

=====

Crystalline Li2TaTi at its relaxed geometry, computed with PBE.

Calculated values
- Size of the total moment: 0.00 μB/atom
- DOS(E_F): 13.9 states/eV per cell
- Polymorph energy (0 for the lowest one): 12.98 kJ per mole of atoms

Structure (CIF):
```
data_Li2TaTi
_chemical_formula_sum 'Li8 Ta4 Ti4'
_symmetry_space_group_name_H-M 'I -4 2 d'
_symmetry_Int_Tables_number 122
_symmetry_space_group_name_Hall 'I -4 2bw'
_cell_length_a 7.210
_cell_length_b 7.210
_cell_length_c 4.961
_cell_angle_alpha 90.00
_cell_angle_beta 90.00
_cell_angle_gamma 90.00
loop_
_atom_site_label
_atom_site_type_symbol
_atom_site_fract_x
_atom_site_fract_y
_atom_site_fract_z
_atom_site_occupancy
Li1 Li 0.240 0.250 0.125 1
Ta1 Ta 0.000 0.000 0.500 1
Ti1 Ti 0.000 0.000 0.000 1
```

=====

Crystalline LiTaTi2 at its relaxed geometry, computed with PBE.

Calculated values
- Size of the total moment: 0.00 μB/atom
- DOS(E_F): 4.1 states/eV per cell
- Polymorph energy (0 for the lowest one): 0.00 kJ per mole of atoms

Structure (CIF):
```
data_LiTaTi2
_chemical_formula_sum 'Li1 Ta1 Ti2'
_symmetry_space_group_name_H-M 'P 4/m m m'
_symmetry_Int_Tables_number 123
_symmetry_space_group_name_Hall '-P 4 2'
_cell_length_a 2.933
_cell_length_b 2.933
_cell_length_c 8.460
_cell_angle_alpha 90.00
_cell_angle_beta 90.00
_cell_angle_gamma 90.00
loop_
_atom_site_label
_atom_site_type_symbol
_atom_site_fract_x
_atom_site_fract_y
_atom_site_fract_z
_atom_site_occupancy
Li1 Li 0.000 0.000 0.000 1
Ta1 Ta 0.000 0.000 0.500 1
Ti1 Ti 0.500 0.500 0.265 1
```

=====

Crystalline LiTaTi2 at its relaxed geometry, computed with PBE.

Calculated values
- Size of the total moment: 0.00 μB/atom
- DOS(E_F): 20.9 states/eV per cell
- Polymorph energy (0 for the lowest one): 8.54 kJ per mole of atoms

Structure (CIF):
```
data_LiTaTi2
_chemical_formula_sum 'Li4 Ta4 Ti8'
_symmetry_space_group_name_H-M 'F m -3 m'
_symmetry_Int_Tables_number 225
_symmetry_space_group_name_Hall '-F 4 2 3'
_cell_length_a 6.420
_cell_length_b 6.420
_cell_length_c 6.420
_cell_angle_alpha 90.00
_cell_angle_beta 90.00
_cell_angle_gamma 90.00
loop_
_atom_site_label
_atom_site_type_symbol
_atom_site_fract_x
_atom_site_fract_y
_atom_site_fract_z
_atom_site_occupancy
Li1 Li 0.000 0.000 0.000 1
Ta1 Ta 0.000 0.000 0.500 1
Ti1 Ti 0.250 0.250 0.250 1
```